[1]
This record from the Open Quantum Materials Database describes crystalline PmTl at its relaxed geometry. The functional is PBE.

Results
Symmetry   No. 194
Electronic total energy   -14.86 eV per cell

abc: 4.5757 4.5757 7.1875
angles: 90.00 90.00 120.00
Fractional positions:
Tl 0.0000 0.0000 0.0000
Tl 0.0000 0.0000 0.5000
Pm 0.6667 0.3333 0.2500
Pm 0.3333 0.6667 0.7500

=====

[2]
This record from the Open Quantum Materials Database describes crystalline Tc3P4 at its relaxed geometry. The functional is PBE.

Results
Symmetry   No. 12
Electronic total energy   -56.51 eV per cell

abc: 6.2652 6.2652 6.0757
angles: 113.15 113.15 27.77
Fractional positions:
Tc 0.7368 0.7368 0.6830
Tc 0.2632 0.2632 0.3170
Tc 0.0000 0.0000 0.0000
P 0.0853 0.0853 0.4367
P 0.9147 0.9147 0.5633
P 0.6491 0.6491 0.9750
P 0.3509 0.3509 0.0250

=====

[3]
This record from the Open Quantum Materials Database describes crystalline TbFeCu2As4 at its relaxed geometry. The functional is PBE.

Results
Symmetry   No. 99
Electronic total energy   -41.09 eV per cell

abc: 3.8941 3.8941 9.1214
angles: 90.00 90.00 90.00
Last column: magnetic moment on the atom in μB.
Fractional positions:
As 0.0000 0.0000 0.3350  0.00
As 0.0000 0.5000 0.9679  0.00
As 0.5000 0.0000 0.9679  -0.02
As 0.5000 0.5000 0.6830  -0.02
Cu 0.5000 0.0000 0.5148  0.00
Cu 0.0000 0.5000 0.5148  -0.01
Tb 0.5000 0.5000 0.2302  0.05
Fe 0.0000 0.0000 0.7863  2.59

=====

[4]
This record from the Open Quantum Materials Database describes crystalline CuBiIr2 at its relaxed geometry. The functional is PBE.

Results
Symmetry   No. 216
Electronic total energy   -23.49 eV per cell

abc: 4.5659 4.5659 4.5659
angles: 60.00 60.00 60.00
Fractional positions:
Ir 0.7500 0.7500 0.7500
Ir 0.0000 0.0000 0.0000
Cu 0.2500 0.2500 0.2500
Bi 0.5000 0.5000 0.5000

=====

[5]
This record from the Open Quantum Materials Database describes crystalline NdSnPdPt at its relaxed geometry. The functional is PBE.

Results
Polymorph energy (0 for the lowest one)   9 meV per atom
Symmetry   No. 164
Electronic total energy   -47.18 eV per cell

abc: 4.6154 4.6154 9.3082
angles: 90.00 90.00 120.00
Fractional positions:
Sn 0.0000 0.0000 0.0000
Sn 0.0000 0.0000 0.5000
Nd 0.6667 0.3333 0.7529
Nd 0.3333 0.6667 0.2471
Pt 0.6667 0.3333 0.0891
Pt 0.3333 0.6667 0.9109
Pd 0.3333 0.6667 0.5816
Pd 0.6667 0.3333 0.4184

=====

[6]
This record from the Open Quantum Materials Database describes crystalline GdInIr at its relaxed geometry. The functional is PBE.

Results
Polymorph energy (0 for the lowest one)   275 meV per atom
Symmetry   No. 189
Electronic total energy   -52.51 eV per cell

abc: 7.1496 7.1496 4.4083
angles: 90.00 90.00 120.00
Fractional positions:
In 0.3333 0.6667 0.5000
In 0.6667 0.3333 0.5000
In 0.0000 0.0000 0.0000
Gd 0.0000 0.5596 0.0000
Gd 0.4404 0.4404 0.0000
Gd 0.5596 0.0000 0.0000
Ir 0.2378 0.0000 0.5000
Ir 0.0000 0.2378 0.5000
Ir 0.7622 0.7622 0.5000

=====

[7]
This record from the Open Quantum Materials Database describes crystalline CsCuSb at its relaxed geometry. The functional is PBE.

Results
Polymorph energy (0 for the lowest one)   0 meV per atom
Symmetry   No. 216
Electronic total energy   -7.35 eV per cell

abc: 5.2161 5.2161 5.2161
angles: 60.00 60.00 60.00
Fractional positions:
Sb 0.7500 0.7500 0.7500
Cu 0.0000 0.0000 0.0000
Cs 0.2500 0.2500 0.2500

=====

[8]
This record from the Open Quantum Materials Database describes crystalline NaErCdS3 at its relaxed geometry. The functional is PBE.

Results
Polymorph energy (0 for the lowest one)   48 meV per atom
Symmetry   No. 63
Electronic total energy   -53.84 eV per cell

abc: 6.9328 6.9328 10.6930
angles: 90.00 90.00 33.55
Fractional positions:
S 0.3654 0.3654 0.4477
S 0.6346 0.6346 0.5523
S 0.3654 0.3654 0.0523
S 0.0808 0.0808 0.2500
S 0.9192 0.9192 0.7500
S 0.6346 0.6346 0.9477
Na 0.2577 0.2577 0.7500
Na 0.7423 0.7423 0.2500
Cd 0.5393 0.5393 0.7500
Cd 0.4607 0.4607 0.2500
Er 0.0000 0.0000 0.0000
Er 0.0000 0.0000 0.5000

=====

[9]
This record from the Open Quantum Materials Database describes crystalline ScCuSi2Ir at its relaxed geometry. The functional is PBE.

Results
Symmetry   No. 119
Electronic total energy   -33.17 eV per cell

abc: 5.7027 5.7027 5.7027
angles: 139.89 139.89 58.02
Fractional positions:
Si 0.8643 0.3643 0.5000
Si 0.6357 0.1357 0.5000
Ir 0.5000 0.5000 0.0000
Cu 0.0000 0.0000 0.0000
Sc 0.2500 0.7500 0.5000

=====

[10]
This record from the Open Quantum Materials Database describes crystalline YCdCuGe at its relaxed geometry. The functional is PBE.

Results
Polymorph energy (0 for the lowest one)   71 meV per atom
Symmetry   No. 216
Electronic total energy   -16.11 eV per cell

abc: 4.8392 4.8392 4.8392
angles: 60.00 60.00 60.00
Fractional positions:
Ge 0.0000 0.0000 0.0000
Cu 0.7500 0.7500 0.7500
Y 0.5000 0.5000 0.5000
Cd 0.2500 0.2500 0.2500

=====

[11]
This record from the Open Quantum Materials Database describes crystalline RbNaTcIr at its relaxed geometry. The functional is PBE.

Results
Polymorph energy (0 for the lowest one)   504 meV per atom
Symmetry   No. 216
Electronic total energy   -14.32 eV per cell

abc: 5.0477 5.0477 5.0477
angles: 60.00 60.00 60.00
Fractional positions:
Ir 0.5000 0.5000 0.5000
Na 0.7500 0.7500 0.7500
Tc 0.0000 0.0000 0.0000
Rb 0.2500 0.2500 0.2500

=====

[12]
This record from the Open Quantum Materials Database describes crystalline K2NaPdF6 at its relaxed geometry. The functional is PBE.

Results
Symmetry   No. 225
Electronic total energy   -41.64 eV per cell

abc: 5.7828 5.7828 5.7828
angles: 60.00 60.00 60.00
Fractional positions:
F 0.7547 0.2452 0.2452
F 0.2453 0.7548 0.7548
F 0.2452 0.2452 0.7547
F 0.2452 0.7547 0.2452
F 0.7548 0.2453 0.7548
F 0.7548 0.7548 0.2453
K 0.2499 0.2499 0.2499
K 0.7501 0.7501 0.7501
Pd 0.0000 0.0000 0.0000
Na 0.5000 0.5000 0.5000